## 1
# Sm2Dy3In (GGA-PBE, optimized geometry)
data_Sm2Dy3In
_chemical_formula_sum 'Sm4 Dy6 In2'
_cell_length_a 4.8823
_cell_length_b 15.1944
_cell_length_c 4.9065
_cell_angle_alpha 90.00
_cell_angle_beta 90.00
_cell_angle_gamma 90.00
_symmetry_space_group_name_H-M 'C m m m'
_symmetry_Int_Tables_number 65
_symmetry_space_group_name_Hall '-C 2 2'
loop_
_atom_site_label
_atom_site_fract_x
_atom_site_fract_y
_atom_site_fract_z
Sm1 0.0000 0.1620 0.0000
Dy1 0.0000 0.0000 0.5000
Dy2 0.0000 0.3348 0.5000
In1 0.0000 0.5000 0.0000
# - magnetization (μB/atom) = 0.00
# - crystal system = orthorhombic

***

## 2
# Sm2Dy3In (GGA-PBE, optimized geometry)
data_Sm2Dy3In
_chemical_formula_sum 'Sm4 Dy6 In2'
_cell_length_a 3.3907
_cell_length_b 9.9743
_cell_length_c 11.6299
_cell_angle_alpha 90.00
_cell_angle_beta 90.00
_cell_angle_gamma 90.00
_symmetry_space_group_name_H-M 'I m m 2'
_symmetry_Int_Tables_number 44
_symmetry_space_group_name_Hall 'I 2 -2'
loop_
_atom_site_label
_atom_site_fract_x
_atom_site_fract_y
_atom_site_fract_z
Sm1 0.0000 0.1723 0.0000
Dy1 0.0000 0.0000 0.7186
Dy2 0.0000 0.3389 0.7520
In1 0.0000 0.5000 0.9845
# - magnetization (μB/atom) = 0.00
# - crystal system = orthorhombic

***

Which one sits at the top of the stability order? 1 does.

***

## 1
# Sm4Dy2In (GGA-PBE, optimized geometry)
data_Sm4Dy2In
_chemical_formula_sum 'Sm8 Dy4 In2'
_cell_length_a 6.2807
_cell_length_b 6.6659
_cell_length_c 12.2094
_cell_angle_alpha 83.03
_cell_angle_beta 75.15
_cell_angle_gamma 61.91
_symmetry_space_group_name_H-M 'P 1'
_symmetry_Int_Tables_number 1
_symmetry_space_group_name_Hall 'P 1'
loop_
_atom_site_label
_atom_site_fract_x
_atom_site_fract_y
_atom_site_fract_z
Sm1 0.0000 0.0000 0.0000
Sm2 0.0340 0.1951 0.7175
Sm3 0.0727 0.6963 0.6348
Sm4 0.3180 0.5118 0.3513
Sm5 0.4860 0.8700 0.1348
Sm6 0.5466 0.0546 0.8514
Sm7 0.7170 0.5656 0.4999
Sm8 0.9463 0.3713 0.2172
Dy1 0.4349 0.4304 0.0594
Dy2 0.4651 0.6261 0.7917
Dy3 0.5813 0.1353 0.5596
Dy4 0.8078 0.9405 0.2918
In1 0.2086 0.0379 0.4268
In2 0.9635 0.5283 0.9269
# - magnetization (μB/atom) = 0.00
# - crystal system = triclinic

***

## 2
# Sm4Dy2In (GGA-PBE, optimized geometry)
data_Sm4Dy2In
_chemical_formula_sum 'Sm12 Dy6 In3'
_cell_length_a 3.6473
_cell_length_b 3.6473
_cell_length_c 58.8624
_cell_angle_alpha 90.00
_cell_angle_beta 90.00
_cell_angle_gamma 120.00
_symmetry_space_group_name_H-M 'R -3 m'
_symmetry_Int_Tables_number 166
_symmetry_space_group_name_Hall '-R 3 2"'
loop_
_atom_site_label
_atom_site_fract_x
_atom_site_fract_y
_atom_site_fract_z
Sm1 0.0000 0.0000 0.0940
Sm2 0.0000 0.0000 0.2899
Dy1 0.0000 0.0000 0.1905
In1 0.0000 0.0000 0.0000
# - magnetization (μB/atom) = 0.00
# - crystal system = trigonal

***

Which one sits at the top of the stability order? 1 does.

***

## 1
# Sm2Dy3In4 (GGA-PBE, optimized geometry)
data_Sm2Dy3In4
_chemical_formula_sum 'Sm4 Dy6 In8'
_cell_length_a 9.1896
_cell_length_b 5.3121
_cell_length_c 10.3668
_cell_angle_alpha 90.00
_cell_angle_beta 90.11
_cell_angle_gamma 90.00
_symmetry_space_group_name_H-M 'C 1 2/m 1'
_symmetry_Int_Tables_number 12
_symmetry_space_group_name_Hall '-C 2y'
loop_
_atom_site_label
_atom_site_fract_x
_atom_site_fract_y
_atom_site_fract_z
Sm1 0.1670 0.0000 0.2779
Dy1 0.0000 0.5000 0.5000
Dy2 0.1664 0.0000 0.9253
In1 0.0002 0.5000 0.1514
In2 0.1664 0.0000 0.6007
# - magnetization (μB/atom) = 0.00
# - crystal system = monoclinic

***

## 2
# Sm2Dy3In4 (GGA-PBE, optimized geometry)
data_Sm2Dy3In4
_chemical_formula_sum 'Sm8 Dy12 In16'
_cell_length_a 7.0768
_cell_length_b 16.5367
_cell_length_c 9.1391
_cell_angle_alpha 90.00
_cell_angle_beta 90.00
_cell_angle_gamma 90.00
_symmetry_space_group_name_H-M 'C m c e'
_symmetry_Int_Tables_number 64
_symmetry_space_group_name_Hall '-C 2ac 2'
loop_
_atom_site_label
_atom_site_fract_x
_atom_site_fract_y
_atom_site_fract_z
Sm1 0.0000 0.1092 0.0754
Dy1 0.0000 0.0000 0.5000
Dy2 0.2500 0.2176 0.7500
In1 0.0000 0.1846 0.4612
In2 0.2500 0.0323 0.7500
# - magnetization (μB/atom) = 0.00
# - crystal system = orthorhombic

***

Which one sits at the top of the stability order? 1 does.

***

## 1
# Sm6Dy2In (GGA-PBE, optimized geometry)
data_Sm6Dy2In
_chemical_formula_sum 'Sm12 Dy4 In2'
_cell_length_a 16.9277
_cell_length_b 9.7581
_cell_length_c 3.4348
_cell_angle_alpha 90.00
_cell_angle_beta 90.07
_cell_angle_gamma 90.00
_symmetry_space_group_name_H-M 'C 1 2/m 1'
_symmetry_Int_Tables_number 12
_symmetry_space_group_name_Hall '-C 2y'
loop_
_atom_site_label
_atom_site_fract_x
_atom_site_fract_y
_atom_site_fract_z
Sm1 0.0000 0.1758 0.0000
Sm2 0.1635 0.3365 0.9988
Dy1 0.1664 0.0000 0.5002
In1 0.0000 0.5000 0.5000
# - magnetization (μB/atom) = 0.00
# - crystal system = monoclinic

***

## 2
# Sm6Dy2In (GGA-PBE, optimized geometry)
data_Sm6Dy2In
_chemical_formula_sum 'Sm24 Dy8 In4'
_cell_length_a 21.3490
_cell_length_b 6.2705
_cell_length_c 9.0872
_cell_angle_alpha 90.00
_cell_angle_beta 109.44
_cell_angle_gamma 90.00
_symmetry_space_group_name_H-M 'C 1 2/c 1'
_symmetry_Int_Tables_number 15
_symmetry_space_group_name_Hall '-C 2yc'
loop_
_atom_site_label
_atom_site_fract_x
_atom_site_fract_y
_atom_site_fract_z
Sm1 0.0530 0.1759 0.1353
Sm2 0.1094 0.3529 0.5283
Sm3 0.1626 0.1659 0.9148
Dy1 0.2233 0.3327 0.3047
In1 0.0000 0.3297 0.7500
# - magnetization (μB/atom) = 0.00
# - crystal system = monoclinic

***

Which one sits at the top of the stability order? 2 does.

***

## 1
# Sm2Dy8In (GGA-PBE, optimized geometry)
data_Sm2Dy8In
_chemical_formula_sum 'Sm4 Dy16 In2'
_cell_length_a 15.2276
_cell_length_b 6.6676
_cell_length_c 7.0119
_cell_angle_alpha 90.00
_cell_angle_beta 104.46
_cell_angle_gamma 90.00
_symmetry_space_group_name_H-M 'C 1 2/m 1'
_symmetry_Int_Tables_number 12
_symmetry_space_group_name_Hall '-C 2y'
loop_
_atom_site_label
_atom_site_fract_x
_atom_site_fract_y
_atom_site_fract_z
Sm1 0.1924 0.0000 0.4420
Dy1 0.0799 0.2664 0.7053
Dy2 0.1038 0.5000 0.1929
Dy3 0.2217 0.0000 0.0022
In1 0.0000 0.0000 0.0000
# - magnetization (μB/atom) = 0.00
# - crystal system = monoclinic

***

## 2
# Sm2Dy8In (GGA-PBE, optimized geometry)
data_Sm2Dy8In
_chemical_formula_sum 'Sm4 Dy16 In2'
_cell_length_a 5.4260
_cell_length_b 7.5885
_cell_length_c 17.1554
_cell_angle_alpha 90.00
_cell_angle_beta 90.00
_cell_angle_gamma 90.00
_symmetry_space_group_name_H-M 'I m m m'
_symmetry_Int_Tables_number 71
_symmetry_space_group_name_Hall '-I 2 2'
loop_
_atom_site_label
_atom_site_fract_x
_atom_site_fract_y
_atom_site_fract_z
Sm1 0.0000 0.0000 0.1935
Dy1 0.0000 0.2409 0.0000
Dy2 0.0000 0.2698 0.3630
Dy3 0.0000 0.5000 0.1790
In1 0.0000 0.0000 0.5000
# - magnetization (μB/atom) = 0.00
# - crystal system = orthorhombic

***

Which one sits at the top of the stability order? 2 does.

***

## 1
# Sm2Dy2In3 (GGA-PBE, optimized geometry)
data_Sm2Dy2In3
_chemical_formula_sum 'Sm4 Dy4 In6'
_cell_length_a 15.1503
_cell_length_b 3.6391
_cell_length_c 8.3584
_cell_angle_alpha 90.00
_cell_angle_beta 118.13
_cell_angle_gamma 90.00
_symmetry_space_group_name_H-M 'C 1 2/m 1'
_symmetry_Int_Tables_number 12
_symmetry_space_group_name_Hall '-C 2y'
loop_
_atom_site_label
_atom_site_fract_x
_atom_site_fract_y
_atom_site_fract_z
Sm1 0.1291 0.0000 0.3201
Dy1 0.1864 0.0000 0.7828
In1 0.0000 0.5000 0.5000
In2 0.0808 0.5000 0.9507
# - magnetization (μB/atom) = 0.00
# - crystal system = monoclinic

***

## 2
# Sm2Dy2In3 (GGA-PBE, optimized geometry)
data_Sm2Dy2In3
_chemical_formula_sum 'Sm4 Dy4 In6'
_cell_length_a 4.5762
_cell_length_b 24.7215
_cell_length_c 3.4983
_cell_angle_alpha 90.00
_cell_angle_beta 90.00
_cell_angle_gamma 90.00
_symmetry_space_group_name_H-M 'C m m m'
_symmetry_Int_Tables_number 65
_symmetry_space_group_name_Hall '-C 2 2'
loop_
_atom_site_label
_atom_site_fract_x
_atom_site_fract_y
_atom_site_fract_z
Sm1 0.0000 0.0704 0.0000
Dy1 0.0000 0.2020 0.0000
In1 0.0000 0.3551 0.5000
In2 0.0000 0.5000 0.5000
# - magnetization (μB/atom) = 0.00
# - crystal system = orthorhombic

***

Which one sits at the top of the stability order? 1 does.